Material: DyY2Tm
Method: DFT, GGA-PBE
State: relaxed

Geometry as CIF:
```
data_DyY2Tm
_chemical_formula_sum 'Dy4 Y8 Tm4'
_space_group_name_H-M_alt 'A m a 2'
_space_group_IT_number 40
_cell_length_a 5.629
_cell_length_b 12.501
_cell_length_c 7.219
_cell_angle_alpha 90.00
_cell_angle_beta 90.00
_cell_angle_gamma 90.00
loop_
_space_group_symop_operation_xyz
'x,y,z'
'-x,-y,z'
'-x+1/2,y,z'
'x+1/2,-y,z'
'x,y+1/2,z+1/2'
'-x,-y+1/2,z+1/2'
'-x+1/2,y+1/2,z+1/2'
'x+1/2,-y+1/2,z+1/2'
loop_
_atom_site_label
_atom_site_type_symbol
_atom_site_fract_x
_atom_site_fract_y
_atom_site_fract_z
_atom_site_occupancy
Dy1 Dy 0.250 0.167 0.000 1
Y1 Y 0.250 0.166 0.500 1
Y2 Y 0.250 0.417 0.750 1
Tm1 Tm 0.250 0.417 0.250 1
```

Calculated values
- Theoretical density: 6.658 g/cm3
- Formation energy from the elements: 0.005 eV/atom
- Total DFT energy (no corrections): -5.497 eV/atom
- Crystal system: orthorhombic
- Total magnetic moment: 0.3 μB/cell